# ZrTaSi3

A PBEsol-optimized structure of ZrTaSi3 (meta-GGA SCAN, Alexandria).

CIF file:
```
data_ZrTaSi3
_space_group_name_H-M_alt 'P 1'
_space_group_IT_number 1
_space_group_name_Hall 'P 1'
_cell_length_a 4.7353
_cell_length_b 4.7353
_cell_length_c 4.7353
_cell_angle_alpha 90.00
_cell_angle_beta 90.00
_cell_angle_gamma 90.00
loop_
_atom_site_label
_atom_site_fract_x
_atom_site_fract_y
_atom_site_fract_z
_atom_site_occupancy
Si1 0.5000 0.0000 0.0000 1
Si2 0.0000 0.0000 0.5000 1
Si3 0.0000 0.5000 0.0000 1
Zr1 0.0000 0.0000 0.0000 1
Ta1 0.5000 0.5000 0.5000 1
```

## Properties
symmetry: Pm-3m (221)
Fermi-level density of states: 3.655 states/eV per cell
E_form (uncorrected): 1.571 eV/atom
total magnetization: 1.7 Bohr magnetons per cell